1.
A plane-wave DFT calculation with PBE was carried out for a geometry-optimized SrP2Ir structure.

Properties
As for the space group: Cmmm. The value obtained for the density of states at the Fermi level is 2.16 states/eV/cell. The value obtained for the total energy is -22.23 eV for the cell shown.

POSCAR file:
```
SrP2Ir
1.0
-1.114 4.332 -1.617
0.777 -4.018 -2.423
-6.358 -1.480 0.416
P Sr Ir
2 1 1
direct
0.000 0.000 0.924
0.000 0.000 0.576
0.500 0.500 0.250
0.500 0.500 0.750
```

=====

2.
A plane-wave DFT calculation with PBE was carried out for a geometry-optimized Sr2PIr structure.

Properties
As for the space group: P4/mmm. The value obtained for the density of states at the Fermi level is 3.63 states/eV/cell. The value obtained for the total energy is -18.48 eV for the cell shown.

POSCAR file:
```
Sr2PIr
1.0
3.439 0.000 0.000
0.000 3.439 0.000
0.000 0.000 8.210
Ir Sr P
1 2 1
direct
0.500 0.500 0.000
0.000 0.000 0.759
0.000 0.000 0.241
0.500 0.500 0.500
```

=====

3.
A plane-wave DFT calculation with PBE was carried out for a geometry-optimized SrPIr2 structure.

Properties
As for the space group: R-3m. The value obtained for the density of states at the Fermi level is 3.86 states/eV/cell. The value obtained for the total energy is -26.28 eV for the cell shown.

POSCAR file:
```
SrPIr2
1.0
5.716 -2.082 -0.026
5.716 2.082 -0.026
4.974 0.000 3.503
Sr Ir P
1 2 1
direct
0.000 0.000 0.000
0.802 0.802 0.802
0.198 0.198 0.198
0.500 0.500 0.500
```

=====

4.
A plane-wave DFT calculation with PBE was carried out for a geometry-optimized Sr2PIr structure.

Properties
As for the space group: Amm2. The value obtained for the density of states at the Fermi level is 2.04 states/eV/cell. The value obtained for the total energy is -20.42 eV for the cell shown.

POSCAR file:
```
Sr2PIr
1.0
4.387 0.000 0.000
0.000 4.730 -0.003
0.000 2.367 5.106
P Sr Ir
1 2 1
direct
0.500 0.585 0.705
0.000 0.977 0.922
0.500 0.272 0.332
0.000 0.667 0.542
```

=====

5.
A plane-wave DFT calculation with PBE was carried out for a geometry-optimized SrP2Ir structure.

Properties
As for the space group: Immm. The value obtained for the density of states at the Fermi level is 1.53 states/eV/cell. The value obtained for the total energy is -23.65 eV for the cell shown.

POSCAR file:
```
SrP2Ir
1.0
-1.666 -4.721 0.751
-4.535 1.570 -1.612
4.509 -0.465 -2.254
Ir Sr P
1 1 2
direct
0.000 0.500 0.500
0.500 0.000 0.500
0.831 0.831 0.000
0.169 0.169 0.000
```

=====

6.
A plane-wave DFT calculation with PBE was carried out for a geometry-optimized Sr3PIr structure.

Properties
As for the space group: Pm-3m. The value obtained for the density of states at the Fermi level is 0.17 states/eV/cell. The value obtained for the total energy is -19.98 eV for the cell shown.

POSCAR file:
```
Sr3PIr
1.0
-4.689 -2.743 1.410
2.716 -4.889 -0.478
1.462 0.283 5.412
Ir Sr P
1 3 1
direct
0.000 0.000 0.000
0.000 0.500 0.000
0.000 0.000 0.500
0.500 0.000 0.000
0.500 0.500 0.500
```

=====

7.
A plane-wave DFT calculation with PBE was carried out for a geometry-optimized Sr2PIr structure.

Properties
As for the space group: Imm2. The value obtained for the density of states at the Fermi level is 0.41 states/eV/cell. The value obtained for the total energy is -19.72 eV for the cell shown.

POSCAR file:
```
Sr2PIr
1.0
-2.159 2.742 4.343
2.159 -2.742 4.343
2.159 2.742 -4.343
Ir Sr P
1 2 1
direct
0.585 0.585 0.000
0.965 0.965 0.000
0.289 0.789 0.500
0.660 0.160 0.500
```

=====

8.
A plane-wave DFT calculation with PBE was carried out for a geometry-optimized Sr2PIr structure.

Properties
As for the space group: C2/m. The value obtained for the density of states at the Fermi level is 5.02 states/eV/cell. The value obtained for the total energy is -17.78 eV for the cell shown.

POSCAR file:
```
Sr2PIr
1.0
1.650 4.008 0.007
-1.650 4.008 0.007
0.000 1.291 8.026
Ir Sr P
1 2 1
direct
0.500 0.500 0.000
0.747 0.747 0.253
0.253 0.253 0.747
0.000 0.000 0.500
```

=====

9.
A plane-wave DFT calculation with PBE was carried out for a geometry-optimized SrPIr2 structure.

Properties
As for the space group: F-43m. The value obtained for the density of states at the Fermi level is 5.28 states/eV/cell. The value obtained for the total energy is -22.70 eV for the cell shown.

POSCAR file:
```
SrPIr2
1.0
0.000 3.320 3.320
3.320 0.000 3.320
3.320 3.320 0.000
Ir Sr P
2 1 1
direct
0.250 0.250 0.250
0.000 0.000 0.000
0.750 0.750 0.750
0.500 0.500 0.500
```

=====

10.
A plane-wave DFT calculation with PBE was carried out for a geometry-optimized SrP2Ir structure.

Properties
As for the space group: Fm-3m. The value obtained for the density of states at the Fermi level is 1.79 states/eV/cell. The value obtained for the total energy is -21.35 eV for the cell shown.

POSCAR file:
```
SrP2Ir
1.0
0.000 3.308 3.308
3.308 0.000 3.308
3.308 3.308 0.000
P Sr Ir
2 1 1
direct
0.250 0.250 0.250
0.750 0.750 0.750
0.000 0.000 0.000
0.500 0.500 0.500
```

=====

11.
A plane-wave DFT calculation with PBE was carried out for a geometry-optimized SrP3Ir structure.

Properties
As for the space group: Pm-3m. The value obtained for the density of states at the Fermi level is 4.26 states/eV/cell. The value obtained for the total energy is -26.58 eV for the cell shown.

POSCAR file:
```
SrP3Ir
1.0
-3.480 0.476 3.229
0.665 -4.518 1.382
3.196 1.458 3.229
P Ir Sr
3 1 1
direct
0.000 0.000 0.500
0.000 0.500 0.000
0.500 0.000 0.000
0.000 0.000 0.000
0.500 0.500 0.500
```

=====

12.
A plane-wave DFT calculation with PBE was carried out for a geometry-optimized Sr2PIr structure.

Properties
As for the space group: R3m. The value obtained for the density of states at the Fermi level is 2.87 states/eV/cell. The value obtained for the total energy is -20.34 eV for the cell shown.

POSCAR file:
```
Sr2PIr
1.0
-0.552 4.459 -7.264
2.626 1.874 -7.908
-1.267 0.544 -8.429
Sr Ir P
2 1 1
direct
0.210 0.210 0.210
0.040 0.040 0.040
0.458 0.458 0.458
0.792 0.792 0.792
```

=====

13.
A plane-wave DFT calculation with PBE was carried out for a geometry-optimized SrPIr2 structure.

Properties
As for the space group: Cmmm. The value obtained for the density of states at the Fermi level is 3.62 states/eV/cell. The value obtained for the total energy is -22.90 eV for the cell shown.

POSCAR file:
```
SrPIr2
1.0
3.002 -3.668 0.000
3.002 3.668 0.000
0.000 0.000 3.206
Ir Sr P
2 1 1
direct
0.500 0.000 0.000
0.000 0.500 0.000
0.500 0.500 0.500
0.000 0.000 0.500
```

=====

14.
A plane-wave DFT calculation with PBE was carried out for a geometry-optimized SrP4Ir structure.

Properties
As for the space group: F-43m. The value obtained for the density of states at the Fermi level is 6.23 states/eV/cell. The value obtained for the total energy is -29.95 eV for the cell shown.

POSCAR file:
```
SrP4Ir
1.0
-1.737 -2.189 4.659
1.162 2.405 4.731
-3.933 2.437 2.846
Ir P Sr
1 4 1
direct
0.000 0.000 0.000
0.355 0.934 0.355
0.355 0.355 0.355
0.355 0.355 0.934
0.934 0.355 0.355
0.750 0.750 0.750
```

=====

15.
A plane-wave DFT calculation with PBE was carried out for a geometry-optimized SrP2Ir structure.

Properties
As for the space group: P4/mmm. The value obtained for the density of states at the Fermi level is 3.03 states/eV/cell. The value obtained for the total energy is -21.88 eV for the cell shown.

POSCAR file:
```
SrP2Ir
1.0
-0.089 1.435 -3.098
-3.307 0.731 0.434
1.594 5.676 2.585
P Ir Sr
2 1 1
direct
0.000 0.000 0.919
0.000 0.000 0.581
0.500 0.500 0.750
0.500 0.500 0.250
```

=====

16.
A plane-wave DFT calculation with PBE was carried out for a geometry-optimized SrP2Ir structure.

Properties
As for the space group: I-42d. The value obtained for the density of states at the Fermi level is 3.97 states/eV/cell. The value obtained for the total energy is -47.99 eV for the cell shown.

POSCAR file:
```
SrP2Ir
1.0
7.169 0.000 0.000
0.000 7.169 0.000
3.585 3.585 3.541
Sr Ir P
2 2 4
direct
0.250 0.750 0.500
0.500 0.500 0.000
0.000 0.000 0.000
0.750 0.250 0.500
0.375 0.275 0.750
0.875 0.975 0.750
0.025 0.625 0.250
0.725 0.125 0.250
```

=====

17.
A plane-wave DFT calculation with PBE was carried out for a geometry-optimized SrP2Ir structure.

Properties
As for the space group: Pm. The value obtained for the density of states at the Fermi level is 1.85 states/eV/cell. The value obtained for the total energy is -23.41 eV for the cell shown.

POSCAR file:
```
SrP2Ir
1.0
4.243 0.000 0.000
0.000 4.334 -0.053
0.000 0.996 4.986
Ir P Sr
1 2 1
direct
0.500 0.749 0.953
0.000 0.962 0.918
0.500 0.244 0.138
0.000 0.545 0.491
```

=====

18.
A plane-wave DFT calculation with PBE was carried out for a geometry-optimized SrPIr2 structure.

Properties
As for the space group: C2/m. The value obtained for the density of states at the Fermi level is 4.62 states/eV/cell. The value obtained for the total energy is -23.42 eV for the cell shown.

POSCAR file:
```
SrPIr2
1.0
5.024 2.862 0.004
-5.024 2.862 0.004
0.000 1.383 2.462
Sr Ir P
1 2 1
direct
0.000 0.000 0.000
0.500 0.000 0.000
0.000 0.500 0.000
0.500 0.500 0.000
```

=====

19.
A plane-wave DFT calculation with PBE was carried out for a geometry-optimized Sr2PIr structure.

Properties
As for the space group: Cmmm. The value obtained for the density of states at the Fermi level is 2.30 states/eV/cell. The value obtained for the total energy is -18.55 eV for the cell shown.

POSCAR file:
```
Sr2PIr
1.0
-0.926 4.578 -2.480
-2.704 0.670 4.495
2.832 1.384 1.498
Ir Sr P
1 2 1
direct
0.500 0.500 0.500
0.000 0.500 0.000
0.500 0.000 0.000
0.000 0.000 0.500
```

=====

20.
A plane-wave DFT calculation with PBE was carried out for a geometry-optimized SrP2Ir structure.

Properties
As for the space group: Imm2. The value obtained for the density of states at the Fermi level is 2.28 states/eV/cell. The value obtained for the total energy is -22.76 eV for the cell shown.

POSCAR file:
```
SrP2Ir
1.0
-3.584 -3.228 -4.935
1.004 -5.092 -4.547
0.477 2.510 6.410
Sr P Ir
1 2 1
direct
0.453 0.453 0.000
0.761 0.261 0.500
0.084 0.084 0.000
0.202 0.702 0.500
```